MgAg2W | GGA-PBE | optimized geometry

Cell and atoms, written as POSCAR:
```
MgAg2W
1.0
4.583 0.000 0.000
0.000 2.724 0.152
0.000 1.057 5.641
Mg Ag W
1 2 1
direct
0.000 0.448 0.479
0.500 0.054 0.267
0.000 0.200 0.977
0.500 0.799 0.777
```

Summary:
Formation energy = 11.058 kcal/mol of atoms
Volume = 70 Å³/cell


YTa2CdGa | GGA-PBE | optimized geometry

Cell and atoms, written as POSCAR:
```
YTa2CdGa
1.0
4.909 0.000 0.000
0.000 4.879 0.000
0.000 0.000 4.909
Cd Ga Ta Y
1 1 2 1
direct
0.000 0.500 0.000
0.000 0.000 0.000
0.500 0.000 0.000
0.000 0.000 0.500
0.500 0.500 0.500
```

Summary:
Formation energy = 18.249 kcal/mol of atoms
Offset from the most stable computed form = 0.000 eV/atom
Volume = 118 Å³/cell


Pm2ErIn2 | GGA-PBE | optimized geometry

Cell and atoms, written as POSCAR:
```
Pm2ErIn2
1.0
4.975 0.000 0.000
0.000 6.645 0.000
-2.488 0.000 8.749
Pm Er In
4 2 4
direct
0.796 0.337 0.591
0.003 0.323 0.006
0.997 0.823 0.994
0.204 0.837 0.409
0.392 0.077 0.785
0.608 0.577 0.215
0.188 0.326 0.375
0.597 0.072 0.193
0.403 0.572 0.807
0.812 0.826 0.625
```

Summary:
Formation energy = -7.575 kcal/mol of atoms
Offset from the most stable computed form = 0.049 eV/atom
Volume = 289 Å³/cell


La2SmSi3Ni12 | GGA-PBE | optimized geometry

Cell and atoms, written as POSCAR:
```
La2SmSi3Ni12
1.0
-5.340 -3.852 -3.978
1.878 -5.587 -4.943
-1.582 -7.388 1.446
Si Ni La Sm
3 12 2 1
direct
0.500 0.000 0.000
0.000 0.000 0.500
0.000 0.500 0.000
0.164 0.164 0.517
0.883 0.353 0.353
0.353 0.353 0.883
0.483 0.836 0.836
0.517 0.164 0.164
0.353 0.883 0.353
0.647 0.117 0.647
0.647 0.647 0.117
0.117 0.647 0.647
0.836 0.483 0.836
0.836 0.836 0.483
0.164 0.517 0.164
0.600 0.600 0.600
0.400 0.400 0.400
0.000 0.000 0.000
```

Summary:
Formation energy from raw total energies = -8.9 meV/atom
Volume = 309 Å³/cell